Ba4Y2FeCu5O14 | PBE+U | optimized geometry Values from VASP.

Quantum ESPRESSO input file:
```
&SYSTEM
  ibrav = 0, nat = 26, ntyp = 5
/
ATOMIC_SPECIES
Cu 63.55 Cu.upf
O 16.00 O.upf
Ba 137.33 Ba.upf
Y 88.91 Y.upf
Fe 55.84 Fe.upf
ATOMIC_POSITIONS crystal
Cu 0.321 0.679 0.000
O 0.249 0.249 0.000
O 0.310 0.690 0.500
O 0.422 0.578 0.000
O 0.079 0.921 0.000
Ba 0.659 0.844 0.500
Cu 0.000 0.000 0.000
O 0.560 0.940 0.000
Y 0.500 0.000 0.500
Ba 0.844 0.659 0.500
Ba 0.341 0.156 0.500
Y 0.000 0.500 0.500
O 0.440 0.060 0.000
Ba 0.156 0.341 0.500
O 0.751 0.751 0.000
O 0.810 0.190 0.500
Cu 0.679 0.321 0.000
O 0.060 0.440 0.000
Cu 0.822 0.178 0.000
Cu 0.178 0.822 0.000
O 0.940 0.560 0.000
O 0.578 0.422 0.000
O 0.690 0.310 0.500
O 0.921 0.079 0.000
O 0.190 0.810 0.500
Fe 0.500 0.500 0.000
CELL_PARAMETERS angstrom
12.559 0.033 0.000
-10.142 7.407 0.000
0.000 0.000 3.853
```

Calculated values
E_tot: -6.33 eV per atom
ρ: 6.1 g cm⁻³